Record 1
The following is a DFT calculation (GGA-PBEsol) of a relaxed K2CaIn2 crystal.

abc: 8.874 8.874 8.874
angles: 149.53 149.53 43.63
Atoms (fractional coordinates):
K  0.250  0.750  0.500
K  0.750  0.250  0.500
Ca  0.000  0.000  0.000
In  0.413  0.413  0.000
In  0.587  0.587  0.000

Calculated values
Energy of formation from the pure elements = 0.02 eV per atom



Record 2
The following is a DFT calculation (GGA-PBEsol) of a relaxed TiGe2B2 crystal.

abc: 8.238 8.238 8.238
angles: 160.78 160.78 27.31
Atoms (fractional coordinates):
Ti  0.000  0.000  0.000
Ge  0.378  0.378  0.000
Ge  0.622  0.622  0.000
B  0.250  0.750  0.500
B  0.750  0.250  0.500

Calculated values
Energy of formation from the pure elements = 0.48 eV per atom



Record 3
The following is a DFT calculation (GGA-PBEsol) of a relaxed MgGeMoAs2 crystal.

abc: 4.823 4.823 4.770
angles: 90.00 90.00 90.00
Atoms (fractional coordinates):
Mg  0.000  0.000  0.000
Ge  0.000  0.000  0.500
Mo  0.500  0.500  0.500
As  0.000  0.500  0.000
As  0.500  0.000  0.000

Calculated values
Energy of formation from the pure elements = 1.28 eV per atom



Record 4
The following is a DFT calculation (GGA-PBEsol) of a relaxed TePbAu2 crystal.

abc: 3.882 4.646 5.582
angles: 90.00 90.00 90.00
Atoms (fractional coordinates):
Te  0.000  0.000  0.000
Pb  0.500  0.000  0.500
Au  0.000  0.500  0.264
Au  0.000  0.500  0.736

Calculated values
Offset from the most stable computed form = 66 meV/atom
Raw formation energy = 0.04 eV per atom



Record 5
The following is a DFT calculation (GGA-PBEsol) of a relaxed RbCl crystal.

abc: 3.887 3.887 3.887
angles: 90.00 90.00 90.00
Atoms (fractional coordinates):
Rb  0.000  0.000  0.000
Cl  0.500  0.500  0.500

Calculated values
Raw formation energy = -1.90 eV per atom



Record 6
The following is a DFT calculation (GGA-PBEsol) of a relaxed ZnCo2Ni crystal.

abc: 3.959 3.959 3.959
angles: 60.00 60.00 60.00
Atoms (fractional coordinates):
Zn  0.000  0.000  0.000
Co  0.500  0.500  0.500
Co  0.750  0.750  0.750
Ni  0.250  0.250  0.250

Calculated values
Energy of formation from the pure elements = 0.03 eV per atom



Table of total magnetization (Bohr magnetons per cell), in record order: 0.000, 0.000, 3.540, 0.000, 0.000, 3.384